The following is a DFT calculation (PBE) of a relaxed TbSc2Pa crystal.

Properties
Total magnetization: 0.315 μB/f.u.
ΔE_f: 0.43 eV/f.u.

Lattice parameters (Å, degrees): 3.318 3.318 9.540 90.00 90.00 90.00
Space group P4/mmm (No. 123)
Asymmetric unit:
Tb 0.000 0.000 0.000 (multiplicity 1)
Sc 0.500 0.500 0.266 (multiplicity 2)
Pa 0.000 0.000 0.500 (multiplicity 1)